<P>
A plane-wave DFT calculation with GGA-PBE was carried out for AlGe3B after structural relaxation.

Cell lengths 4.835, 4.835, 4.835 Å; angles 90.00, 90.00, 90.00 degrees
Space group Pm-3m (No. 221)
Asymmetric unit:
Al  0.000  0.000  0.000
Ge  0.000  0.000  0.500
B  0.500  0.500  0.500

<Q>
A plane-wave DFT calculation with GGA-PBE was carried out for AlGe3B after structural relaxation.

Cell lengths 4.422, 4.422, 4.422 Å; angles 90.00, 90.00, 90.00 degrees
Space group Pm-3m (No. 221)
Asymmetric unit:
Al  0.000  0.000  0.000
Ge  0.000  0.500  0.500
B  0.500  0.500  0.500

Energy above the most stable structure, in meV/atom: <P> 771; <Q> 0